(1)
Here is CuTcRh2 after structural relaxation from Alexandria via LeMat-Bulk. Energies are from PBE.

Final energy ... -7.111 eV/atom
DFT formation energy ... 0.180 eV per atom
DOS(E_F) ... 5.22 states/eV per cell
ρ ... 10.76 g cm⁻³
Space group ... No. 65

a b c (Å): 2.669 2.669 8.953
angles (deg): 90.00 90.00 117.27
Fractional coordinates of all 4 atoms:
Cu  0.000  0.000  0.000
Tc  0.000  0.000  0.500
Rh  0.500  0.500  0.248
Rh  0.500  0.500  0.752



(2)
Here is LaCeEr2 after structural relaxation from Alexandria via LeMat-Bulk. Energies are from PBE.

Final energy ... -4.934 eV/atom
DFT formation energy ... 0.063 eV per atom
DOS(E_F) ... 7.76 states/eV per cell
ρ ... 8.00 g cm⁻³
Space group ... No. 123

a b c (Å): 3.581 3.581 9.939
angles (deg): 90.00 90.00 90.00
Fractional coordinates of all 4 atoms:
La  0.000  0.000  0.000
Ce  0.000  0.000  0.500
Er  0.500  0.500  0.263
Er  0.500  0.500  0.737



(3)
Here is NbAlBN2 after structural relaxation from Alexandria via LeMat-Bulk. Energies are from PBE.

Final energy ... -6.025 eV/atom
DOS(E_F) ... 2.46 states/eV per cell
ρ ... 4.86 g cm⁻³
Space group ... No. 123
Uncorrected formation energy ... 677 kJ/mol of formula units

a b c (Å): 3.567 3.567 4.261
angles (deg): 90.00 90.00 90.00
Fractional coordinates of all 5 atoms:
Nb  0.000  0.000  0.000
Al  0.500  0.500  0.000
B  0.500  0.500  0.500
N  0.000  0.500  0.500
N  0.500  0.000  0.500



(4)
Here is LiTiGa after structural relaxation from Alexandria via LeMat-Bulk. Energies are from PBE.

Final energy ... -4.177 eV/atom
DFT formation energy ... 0.101 eV per atom
DOS(E_F) ... 5.43 states/eV per cell
ρ ... 4.32 g cm⁻³
Space group ... No. 129

a b c (Å): 3.816 3.816 6.570
angles (deg): 90.00 90.00 90.00
Fractional coordinates of all 6 atoms:
Li  0.250  0.250  0.250
Li  0.750  0.750  0.750
Ti  0.250  0.250  0.661
Ti  0.750  0.750  0.339
Ga  0.250  0.750  0.000
Ga  0.750  0.250  0.000



(5)
Here is BeReIr after structural relaxation from Alexandria via LeMat-Bulk. Energies are from PBE.

Final energy ... -8.504 eV/atom
DFT formation energy ... -0.159 eV per atom
DOS(E_F) ... 3.49 states/eV per cell
ρ ... 17.39 g cm⁻³
Space group ... No. 8

a b c (Å): 6.038 6.038 4.525
angles (deg): 101.85 101.85 27.32
Fractional coordinates of all 6 atoms:
Be  0.000  0.000  0.000
Be  0.544  0.544  0.319
Re  0.210  0.210  0.378
Re  0.907  0.907  0.478
Ir  0.341  0.341  0.951
Ir  0.629  0.629  0.830



(6)
Here is SrAcTe3 after structural relaxation from Alexandria via LeMat-Bulk. Energies are from PBE.

Final energy ... -4.462 eV/atom
DOS(E_F) ... 3.46 states/eV per cell
ρ ... 6.22 g cm⁻³
Space group ... No. 59
Uncorrected formation energy ... -685 kJ/mol of formula units

a b c (Å): 4.945 6.861 10.975
angles (deg): 90.00 90.00 90.00
Fractional coordinates of all 10 atoms:
Sr  0.250  0.250  0.087
Sr  0.750  0.750  0.913
Ac  0.250  0.750  0.366
Ac  0.750  0.250  0.634
Te  0.250  0.016  0.814
Te  0.250  0.250  0.433
Te  0.250  0.484  0.814
Te  0.750  0.516  0.186
Te  0.750  0.750  0.567
Te  0.750  0.984  0.186